Pa2Be2SiRu5: relaxed, PBE-GGA.

```
Pa2Be2SiRu5
1.0
3.237 0.000 0.000
0.000 9.540 0.000
0.000 0.000 9.540
Pa Be Si Ru
4 4 2 10
Direct
0.000 0.675 0.175 Pa
0.000 0.325 0.825 Pa
0.000 0.175 0.325 Pa
0.000 0.825 0.675 Pa
0.000 0.123 0.623 Be
0.000 0.877 0.377 Be
0.000 0.623 0.877 Be
0.000 0.377 0.123 Be
0.000 0.000 0.000 Si
0.000 0.500 0.500 Si
0.500 0.206 0.073 Ru
0.500 0.794 0.927 Ru
0.500 0.073 0.794 Ru
0.500 0.706 0.427 Ru
0.500 0.927 0.206 Ru
0.500 0.294 0.573 Ru
0.500 0.573 0.706 Ru
0.500 0.427 0.294 Ru
0.500 0.500 0.000 Ru
0.500 0.000 0.500 Ru
```

Results
symmetry = P4/mbm (127)
E_form (uncorrected) = -0.5863 eV/atom

Pa2BeSi2Ru5: relaxed, PBE-GGA.

```
Pa2BeSi2Ru5
1.0
-0.334 3.240 -0.752
-9.694 -0.781 0.933
0.729 2.274 9.473
Pa Be Si Ru
4 2 4 10
Direct
0.000 0.674 0.174 Pa
0.000 0.326 0.826 Pa
0.000 0.174 0.326 Pa
0.000 0.826 0.674 Pa
0.000 0.000 0.000 Be
0.000 0.500 0.500 Be
0.000 0.126 0.626 Si
0.000 0.874 0.374 Si
0.000 0.626 0.874 Si
0.000 0.374 0.126 Si
0.500 0.204 0.071 Ru
0.500 0.796 0.929 Ru
0.500 0.071 0.796 Ru
0.500 0.704 0.429 Ru
0.500 0.929 0.204 Ru
0.500 0.296 0.571 Ru
0.500 0.571 0.704 Ru
0.500 0.429 0.296 Ru
0.500 0.500 0.000 Ru
0.500 0.000 0.500 Ru
```

Results
symmetry = P4/mbm (127)
E_form (uncorrected) = -0.5073 eV/atom

PaBeSi2Ru2: relaxed, PBE-GGA.

```
PaBeSi2Ru2
1.0
4.226 0.000 0.000
0.000 4.226 0.000
-2.113 -2.113 7.392
Pa Be Si Ru
1 1 2 2
Direct
0.500 0.500 0.000 Pa
0.000 0.000 0.000 Be
0.687 0.687 0.374 Si
0.313 0.313 0.626 Si
0.250 0.750 0.500 Ru
0.750 0.250 0.500 Ru
```

Results
symmetry = I4/mmm (139)
E_form (uncorrected) = 0.5666 eV/atom